The following is a GGA-PBE calculation of a relaxed structure of Ho3Si4Pd2, from the Alexandria database.

## Properties
Total energy: -0.2197 hartree per atom

a b c (Å): 10.343 4.223 8.173
angles (deg): 90.00 107.51 90.00
Space group C2/m (No. 12)
Symmetry-distinct sites (fractional):
Ho1 0.000 0.000 0.000 x2
Ho2 0.134 0.500 0.691 x4
Si1 0.084 0.000 0.419 x4
Si2 0.223 0.500 0.062 x4
Pd1 0.163 0.500 0.327 x4